Material: Ba2InAg6Pb
Method: DFT, GGA-PBE
State: relaxed

Cell and atoms, written as POSCAR:
```
Ba2InAg6Pb
1.0
-6.1504 4.1717 -1.6193
-3.4914 -6.7109 0.7868
-4.8186 -3.0085 5.0461
Ag In Ba Pb
6 1 2 1
Cartesian
-4.2624 -4.0715 0.2256
-7.4505 -2.3945 3.6895
-10.1980 -1.4762 3.9881
-9.5299 -3.3156 1.8633
-7.0098 -3.1532 0.5242
-4.9305 -2.2321 2.3504
0.0000 0.0000 0.0000
-6.5357 -5.7867 2.9725
-7.9246 0.2390 1.2412
-4.8209 -1.2696 -0.4162
```

Results
The value obtained for the total magnetization is 0.0 μB/f.u. The value obtained for the energy of formation is -0.162 eV per atom. Its crystal system is triclinic.


Material: HoInGe4
Method: DFT, GGA-PBE
State: relaxed

Cell and atoms, written as POSCAR:
```
HoInGe4
1.0
5.6284 0.0000 0.0000
2.8142 4.8744 0.0000
2.8142 1.6248 4.5956
Ge Ho In
4 1 1
Cartesian
4.2248 4.0600 2.8708
5.6285 1.6288 2.8708
7.0321 4.0600 2.8708
5.6285 3.2496 0.5787
2.8142 1.6248 1.1489
0.0000 0.0000 0.0000
```

Results
The value obtained for the total magnetization is 0.0 μB/f.u. The value obtained for the energy of formation is -0.136 eV per atom. Its crystal system is cubic.


Material: ReAg2Pt
Method: DFT, GGA-PBE
State: relaxed

Cell and atoms, written as POSCAR:
```
ReAg2Pt
1.0
2.7383 0.0000 0.0000
0.0000 4.8144 0.0000
0.0000 0.0000 5.0303
Ag Pt Re
2 1 1
Cartesian
0.0000 0.0000 0.0000
1.3691 2.4072 0.0000
1.3691 0.0000 2.5151
0.0000 2.4072 2.5151
```

Results
The value obtained for the total magnetization is 0.7 μB/f.u. The value obtained for the energy of formation is 0.407 eV per atom. Its crystal system is orthorhombic.


Material: HfSb2TeCl
Method: DFT, GGA-PBE
State: relaxed

Cell and atoms, written as POSCAR:
```
HfSb2TeCl
1.0
-1.8338 4.1349 -2.4171
-4.7496 -1.9034 0.3473
-0.6455 2.4714 4.7175
Sb Cl Hf Te
2 1 1 1
Cartesian
-2.3748 -0.9517 0.1736
-0.9169 2.0674 -1.2085
0.0000 0.0000 0.0000
-3.6144 2.3514 1.3239
-0.3227 1.2357 2.3588
```

Results
The value obtained for the total magnetization is 0.0 μB/f.u. Its crystal system is tetragonal. The value obtained for the formation energy from raw total energies is 788 meV per atom.


Material: Mg7Si4
Method: DFT, GGA-PBE
State: relaxed

Cell and atoms, written as POSCAR:
```
Mg7Si4
1.0
5.3175 0.0337 -0.0708
-0.1526 6.1867 0.0098
-2.6992 -0.3963 13.4494
Mg Si
14 8
Cartesian
-0.0365 0.6583 13.0056
2.9896 4.1008 5.1811
0.0515 3.8383 12.3210
0.7008 3.9849 3.0870
0.3261 5.5387 5.9352
-2.6172 2.2779 13.3224
3.2106 1.0800 5.9690
2.6246 5.5850 11.1469
1.3096 3.8927 8.7465
0.5366 2.5110 5.8278
-0.1333 5.7649 0.7602
1.4686 0.8349 8.3444
-1.3884 2.1771 10.1014
1.5095 1.0217 3.1725
1.2903 1.8741 10.8128
4.0443 5.9625 3.3940
-0.0729 5.8482 10.4141
-1.2831 3.3446 7.6748
4.1518 2.1500 3.5306
3.0293 2.8921 1.5054
2.5581 5.2531 1.5386
-1.4718 5.6764 8.3116
```

Results
The value obtained for the total magnetization is 0.0 μB/f.u. Its crystal system is triclinic. The value obtained for the formation energy from raw total energies is 36 meV per atom.


Material: SrSmCuTe3
Method: DFT, GGA-PBE
State: relaxed

Cell and atoms, written as POSCAR:
```
SrSmCuTe3
1.0
4.3846 0.0000 0.0000
0.0000 9.2456 0.0899
0.0000 -2.3487 9.4860
Sm Te Cu Sr
2 6 2 2
Cartesian
1.0961 5.8467 1.6360
3.2884 1.0502 7.9399
1.0961 6.0696 4.7028
1.0961 -1.1480 8.1890
3.2884 8.0449 1.3869
3.2884 0.8273 4.8731
3.2884 3.6040 1.6513
1.0961 3.2929 7.9246
1.0961 -0.6411 5.5114
3.2884 7.5380 4.0645
1.0961 1.1289 2.3296
3.2884 5.7680 7.2463
```

Results
The value obtained for the total magnetization is 0.0 μB/f.u. Its crystal system is monoclinic. The value obtained for the formation energy from raw total energies is -1199 meV per atom.


Material: CdNiSn2
Method: DFT, GGA-PBE
State: relaxed

Cell and atoms, written as POSCAR:
```
CdNiSn2
1.0
4.2913 0.0000 0.0000
2.1457 3.7164 0.0000
2.1457 1.2388 5.7109
Sn Cd Ni
2 1 1
Cartesian
2.1456 1.2388 4.6712
2.1457 1.2388 0.9645
4.2913 2.4776 2.8389
4.2913 2.4776 0.0917
```

Results
The value obtained for the total magnetization is 0.0 μB/f.u. The value obtained for the energy of formation is -0.018 eV per atom. Its crystal system is trigonal.


Material: Cr3HBr
Method: DFT, GGA-PBE
State: relaxed

Cell and atoms, written as POSCAR:
```
Cr3HBr
1.0
-2.9596 -1.3577 2.9144
-2.6909 -1.1218 -3.2552
1.7595 -3.9993 -0.0763
Cr Br H
3 1 1
Cartesian
-1.3454 -0.5609 -1.6276
-1.4798 -0.6789 1.4572
0.8798 -1.9996 -0.0381
0.0000 0.0000 0.0000
-1.9455 -3.2394 -0.2086
```

Results
The value obtained for the total magnetization is 1.6 μB/f.u. Its crystal system is cubic. Its raw total energy is -22.968 eV for the cell shown.


Material: CsS2N3
Method: DFT, GGA-PBE
State: relaxed

Cell and atoms, written as POSCAR:
```
CsS2N3
1.0
6.4224 4.9195 0.1360
-6.4224 4.9195 0.1360
0.0000 2.7782 10.8734
S Cs N
8 4 12
Cartesian
-2.1665 8.3457 10.4604
3.2128 7.2331 2.3300
2.1665 6.9565 5.0237
3.2128 3.9950 3.3788
-3.2128 5.3841 8.8154
-2.1665 5.6606 6.1218
-3.2128 8.6222 7.7667
2.1665 4.2715 0.6851
0.8992 7.0032 8.2911
-5.2195 5.6140 2.8544
-0.8992 5.6140 2.8544
5.2195 7.0032 8.2911
1.9462 4.2151 2.3099
-3.4848 5.5974 0.2777
3.4848 7.0198 10.8678
4.5598 6.2056 2.6269
-4.5598 6.4116 8.5186
-3.4848 5.6307 5.4311
1.9462 7.0130 3.3989
-1.9462 8.4021 8.8356
-4.5598 7.5947 8.0635
-1.9462 5.6042 7.7466
4.5598 5.0225 3.0819
3.4848 6.9865 5.7144
```

Results
The value obtained for the total magnetization is 0.0 μB/f.u. Its crystal system is monoclinic. The value obtained for the formation energy from raw total energies is 233 meV per atom.


Material: HoThHgIr
Method: DFT, GGA-PBE
State: relaxed

Cell and atoms, written as POSCAR:
```
HoThHgIr
1.0
-2.1159 -1.1628 4.5378
2.9023 -1.9605 3.7621
1.0916 2.8346 4.1465
Ho Ir Th Hg
1 1 1 1
Cartesian
1.4085 -0.2165 9.3347
0.0000 0.0000 0.0000
0.4695 -0.0722 3.1116
0.9390 -0.1444 6.2232
```

Results
The value obtained for the total magnetization is 0.0 μB/f.u. The value obtained for the energy of formation is -0.496 eV per atom. Its crystal system is cubic.


Material: KTbMgF6
Method: DFT, GGA-PBE
State: relaxed

Cell and atoms, written as POSCAR:
```
KTbMgF6
1.0
-3.5416 -4.4671 4.9866
5.1649 -4.8946 -0.7164
1.7901 6.8689 1.6729
F K Tb Mg
12 2 2 2
Cartesian
2.5402 -5.5368 2.5959
-1.1673 0.5836 5.4456
4.5807 -3.0764 0.4974
2.0842 -3.1347 2.2062
5.0659 0.1172 1.4852
0.7187 -4.8571 4.1289
3.7004 -1.6052 3.4079
0.8733 3.0440 3.3471
-1.6525 -2.6100 4.4578
1.3292 0.6419 3.7368
2.6947 2.3643 1.8141
-0.2870 -0.8876 2.5351
1.2694 -1.9864 4.8739
2.1441 -0.5064 1.0691
0.8950 3.4345 0.8364
-0.8758 1.2009 3.3297
-1.7708 -2.2335 2.4933
0.8117 -4.6809 2.1351
```

Results
The value obtained for the total magnetization is 0.0 μB/f.u. Its crystal system is orthorhombic. The value obtained for the formation energy from raw total energies is -3598 meV per atom.


Material: Sb2ICl
Method: DFT, GGA-PBE
State: relaxed

Cell and atoms, written as POSCAR:
```
Sb2ICl
1.0
-5.2608 1.1258 -6.6850
-5.9768 -4.7636 3.9012
-6.8602 0.9160 0.0456
Sb Cl I
4 2 2
Cartesian
-5.7003 0.3265 -3.6157
-14.9214 -2.4509 -2.4386
-6.1580 -2.5969 1.5507
-9.4159 -0.7223 -0.9727
-5.6188 -1.8189 -1.3919
-9.2279 -2.8333 1.2775
0.0000 0.0000 0.0000
-8.8699 0.1115 -4.0156
```

Results
The value obtained for the total magnetization is 0.0 μB/f.u. Its crystal system is tetragonal. The value obtained for the formation energy from raw total energies is 211 meV per atom.


What did the twelfth record say?
Material: Sb2ICl
Method: DFT, GGA-PBE
State: relaxed

Cell and atoms, written as POSCAR:
```
Sb2ICl
1.0
-5.2608 1.1258 -6.6850
-5.9768 -4.7636 3.9012
-6.8602 0.9160 0.0456
Sb Cl I
4 2 2
Cartesian
-5.7003 0.3265 -3.6157
-14.9214 -2.4509 -2.4386
-6.1580 -2.5969 1.5507
-9.4159 -0.7223 -0.9727
-5.6188 -1.8189 -1.3919
-9.2279 -2.8333 1.2775
0.0000 0.0000 0.0000
-8.8699 0.1115 -4.0156
```

Results
The value obtained for the total magnetization is 0.0 μB/f.u. Its crystal system is tetragonal. The value obtained for the formation energy from raw total energies is 211 meV per atom.


Copy entry 11 word for word.
Material: KTbMgF6
Method: DFT, GGA-PBE
State: relaxed

Cell and atoms, written as POSCAR:
```
KTbMgF6
1.0
-3.5416 -4.4671 4.9866
5.1649 -4.8946 -0.7164
1.7901 6.8689 1.6729
F K Tb Mg
12 2 2 2
Cartesian
2.5402 -5.5368 2.5959
-1.1673 0.5836 5.4456
4.5807 -3.0764 0.4974
2.0842 -3.1347 2.2062
5.0659 0.1172 1.4852
0.7187 -4.8571 4.1289
3.7004 -1.6052 3.4079
0.8733 3.0440 3.3471
-1.6525 -2.6100 4.4578
1.3292 0.6419 3.7368
2.6947 2.3643 1.8141
-0.2870 -0.8876 2.5351
1.2694 -1.9864 4.8739
2.1441 -0.5064 1.0691
0.8950 3.4345 0.8364
-0.8758 1.2009 3.3297
-1.7708 -2.2335 2.4933
0.8117 -4.6809 2.1351
```

Results
The value obtained for the total magnetization is 0.0 μB/f.u. Its crystal system is orthorhombic. The value obtained for the formation energy from raw total energies is -3598 meV per atom.


Please write out number 10 again, unchanged.
Material: HoThHgIr
Method: DFT, GGA-PBE
State: relaxed

Cell and atoms, written as POSCAR:
```
HoThHgIr
1.0
-2.1159 -1.1628 4.5378
2.9023 -1.9605 3.7621
1.0916 2.8346 4.1465
Ho Ir Th Hg
1 1 1 1
Cartesian
1.4085 -0.2165 9.3347
0.0000 0.0000 0.0000
0.4695 -0.0722 3.1116
0.9390 -0.1444 6.2232
```

Results
The value obtained for the total magnetization is 0.0 μB/f.u. The value obtained for the energy of formation is -0.496 eV per atom. Its crystal system is cubic.